{"formula": "Pr3Zn2Sn4", "functional": "GGA-PBE", "state": "relaxed", "delta_e_f_ev_per_atom": -0.59, "dos_at_fermi_per_ev_atom": 0.3471, "mass_density_g_cm3": 7.10, "lattice": [[5.979, -2.285, 0.000], [5.979, 2.285, 0.000], [-2.107, 0.000, 8.802]], "species": ["Pr", "Pr", "Pr", "Zn", "Zn", "Sn", "Sn", "Sn", "Sn"], "fractional_positions": [[0.000, 0.000, 0.000], [0.340, 0.340, 0.332], [0.660, 0.660, 0.668], [0.430, 0.430, 0.753], [0.570, 0.570, 0.247], [0.079, 0.079, 0.399], [0.275, 0.275, 0.917], [0.725, 0.725, 0.083], [0.921, 0.921, 0.601]]}